Compound: IrRhW2
Source: Alexandria
Functional: PBEsol
Structure: optimized geometry

Computed properties:
Total moment (Bohr magnetons per cell): 0.0
Calculated volume (Å³/f.u.): 58.3
Fermi-level density of states (states/eV per atom): 0.549
Formation energy (eV/atom): -0.238
Symmetry: P4/mmm, No. 123

```
4
Lattice="2.7359 0.0000 0.0000 0.0000 2.7359 0.0000 0.0000 0.0000 7.7862" Properties=species:S:1:pos:R:3 pbc="T T T"
Ir 0.0000 0.0000 0.0000
Rh 0.0000 0.0000 3.8931
W 1.3680 1.3680 1.9517
W 1.3680 1.3680 5.8345
```